Record 1
First-principles (PBE) data for an optimized crystal structure of ZrTe2Pt, as listed in Alexandria.

Uncorrected energy, Ry per atom: -0.4071
Formation energy without anion corrections, eV per atom: -0.32

Lattice parameters (Å, degrees): 3.6355 3.6355 6.5217 90.00 90.00 90.00
Fractional positions:
Pt1 0.5000 0.5000 0.7500
Te1 0.0000 0.0000 0.9984
Te2 0.0000 0.0000 0.5016
Zr1 0.5000 0.5000 0.2500

=====

Record 2
First-principles (PBE) data for an optimized crystal structure of CaTl2Ir, as listed in Alexandria.

E_form, kcal/mol of atoms: 2.76
Uncorrected energy, Ry per atom: -0.2778

Lattice parameters (Å, degrees): 5.0928 5.0928 5.0928 60.00 60.00 60.00
Fractional positions:
Tl1 0.0000 0.0000 0.0000
Tl2 0.2500 0.2500 0.2500
Ir1 0.7500 0.7500 0.7500
Ca1 0.5000 0.5000 0.5000

=====

Record 3
First-principles (PBE) data for an optimized crystal structure of LiNpPdPt, as listed in Alexandria.

E_form, kcal/mol of atoms: -9.06
Uncorrected energy, Ry per atom: -0.5082

Lattice parameters (Å, degrees): 4.7038 4.7038 4.7038 60.00 60.00 60.00
Each line ends with the local moment (μB).
Fractional positions:
Np1 0.0000 0.0000 0.0000  3.68
Pd1 0.7500 0.7500 0.7500  -0.07
Pt1 0.2500 0.2500 0.2500  -0.10
Li1 0.5000 0.5000 0.5000  0.02

=====

Record 4
First-principles (PBE) data for an optimized crystal structure of BeCdRe4, as listed in Alexandria.

E_form, kcal/mol of atoms: 17.05
Uncorrected energy, Ry per atom: -0.6125

Lattice parameters (Å, degrees): 5.2077 5.2077 5.2077 60.00 60.00 60.00
Fractional positions:
Be1 0.7500 0.7500 0.7500
Cd1 0.0000 0.0000 0.0000
Re1 0.8742 0.3753 0.3753
Re2 0.3753 0.3753 0.8742
Re3 0.3753 0.8742 0.3753
Re4 0.3753 0.3753 0.3753

=====

Record 5
First-principles (PBE) data for an optimized crystal structure of ZnCr2HRu, as listed in Alexandria.

Uncorrected energy, Ry per atom: -0.4746

Lattice parameters (Å, degrees): 3.7352 3.7352 3.8658 90.00 90.00 90.00
Each line ends with the local moment (μB).
Fractional positions:
Ru1 0.0000 0.0000 0.5000  0.04
Zn1 0.5000 0.5000 0.5000  -0.01
H1 0.0000 0.0000 0.0000  -0.01
Cr1 0.0000 0.5000 0.0000  0.93
Cr2 0.5000 0.0000 0.0000  0.93

=====

Record 6
First-principles (PBE) data for an optimized crystal structure of BeCrTc2, as listed in Alexandria.

E_form, kcal/mol of atoms: 4.45
Uncorrected energy, Ry per atom: -0.6120

Lattice parameters (Å, degrees): 2.5781 2.5781 8.0674 90.00 90.00 108.95
Fractional positions:
Cr1 0.5000 0.5000 0.7321
Tc1 0.0000 0.0000 0.9868
Tc2 0.5000 0.5000 0.2735
Be1 0.0000 0.0000 0.5077

=====

Record 7
First-principles (PBE) data for an optimized crystal structure of NaSbPdAu, as listed in Alexandria.

Uncorrected energy, Ry per atom: -0.2761
Formation energy without anion corrections, eV per atom: -0.28

Lattice parameters (Å, degrees): 4.6376 4.6364 5.8602 66.64 90.00 120.01
Fractional positions:
Na1 0.0430 0.0860 0.8427
Sb1 0.2459 0.4918 0.2338
Pd1 0.5349 0.0698 0.3667
Au1 0.8386 0.6771 0.4555

=====

uncorrected energy of number 4 (BeCdRe4)? -0.6125 Ry per atom

=====

Look up the uncorrected energy of the seventh one. -0.2761 Ry per atom